1.
Tb2NdHoTh: optimized geometry, PBE-GGA.

Unit cell a=6.4300 b=8.5813 c=6.3412 alpha=98.92 beta=90.00 gamma=90.00
Last column: nearest neighbours and their distance in Å.
Element x y z (fractional)
Tb 0.6858 0.3151 0.7024  1 Tb 3.14, 1 Th 3.15, 1 Nd 3.46, 1 Ho 3.50
Th 0.5488 0.0000 0.2500  2 Tb 3.15, 2 Th 3.23, 2 Nd 3.31
Ho 0.1728 0.5000 0.7500  8 Tb 3.50-3.70, 2 Ho 3.87
Tb 0.3142 0.3151 0.2024  1 Tb 3.14, 1 Th 3.15, 1 Nd 3.46, 1 Ho 3.50
Th 0.4512 0.0000 0.7500  2 Tb 3.15, 2 Th 3.23, 2 Nd 3.31
Nd 0.0000 0.0000 0.5000  2 Nd 3.17, 2 Th 3.31, 2 Tb 3.46
Tb 0.6858 0.6849 0.7976  1 Tb 3.14, 1 Th 3.15, 1 Nd 3.46, 1 Ho 3.50
Nd 0.0000 0.0000 0.0000  2 Nd 3.17, 2 Th 3.31, 2 Tb 3.46
Tb 0.3142 0.6849 0.2976  1 Tb 3.14, 1 Th 3.15, 1 Nd 3.46, 1 Ho 3.50
Ho 0.8272 0.5000 0.2500  8 Tb 3.50-3.70, 2 Ho 3.87

* calculated formation energy: 0.329 eV/atom
* space-group type: No. 13

2.
AcPmTePt: optimized geometry, PBE-GGA.

Unit cell a=4.3753 b=4.3749 c=8.1935 alpha=90.00 beta=105.47 gamma=119.99
Last column: nearest neighbours and their distance in Å.
Element x y z (fractional)
Te 0.9810 0.3887 0.3847  3 Pm 3.30, 3 Ac 3.49-3.50, 1 Pt 3.65
Pt 0.2930 0.5444 0.8525  3 Pm 2.95, 3 Ac 3.06
Pm 0.4962 0.1460 0.6574  3 Pt 2.95, 2 Te 3.30
Ac 0.1078 0.9518 0.0751  3 Pt 3.06

* formation energy without anion corrections: -5.15 eV per formula unit
* space-group type: No. 160

3.
Mg2TcAg: optimized geometry, PBE-GGA.

Unit cell a=2.8066 b=2.8066 c=8.9726 alpha=90.00 beta=90.00 gamma=90.00
Last column: nearest neighbours and their distance in Å.
Element x y z (fractional)
Mg 0.5000 0.5000 0.2718  4 Mg 2.81, 4 Tc 2.86
Mg 0.0000 0.0000 0.9834  4 Mg 2.81, 4 Ag 2.93
Ag 0.5000 0.5000 0.7433  4 Ag 2.81, 4 Mg 2.93, 4 Tc 2.94
Tc 0.0000 0.0000 0.5014  4 Tc 2.81, 4 Mg 2.86, 4 Ag 2.94

* calculated formation energy: 0.237 eV/atom
* space-group type: No. 99